No. 1
A relaxed structure of ErSn2Rh, computed with PBE-GGA.

```
ErSn2Rh
1.0
5.8400 0.0000 0.0000
0.0000 7.3141 0.0000
0.0000 0.0000 16.4422
Rh Sn Er
8 16 8
direct
0.4916 0.2500 0.5797
0.2833 0.2500 0.8353
0.2167 0.2500 0.3353
0.9916 0.7500 0.9203
0.0084 0.2500 0.0797
0.7167 0.7500 0.1647
0.5084 0.7500 0.4203
0.7833 0.7500 0.6647
0.7569 0.5399 0.5308
0.7431 0.9601 0.0308
0.9770 0.4575 0.2176
0.2569 0.4601 0.9692
0.9770 0.0425 0.2176
0.2431 0.4601 0.4692
0.2431 0.0399 0.4692
0.0230 0.5425 0.7824
0.7431 0.5399 0.0308
0.7569 0.9601 0.5308
0.2569 0.0399 0.9692
0.4770 0.9575 0.2824
0.5230 0.4575 0.7176
0.5230 0.0425 0.7176
0.0230 0.9575 0.7824
0.4770 0.5425 0.2824
0.0260 0.2500 0.6435
0.7599 0.2500 0.8894
0.9740 0.7500 0.3565
0.4740 0.2500 0.1435
0.2599 0.7500 0.6106
0.2401 0.7500 0.1106
0.7401 0.2500 0.3894
0.5260 0.7500 0.8565
```

Results
Total magnetic moment = 0.0 μB per formula unit
DOS(E_F) = 0.495 states/eV per atom
Raw total energy = -0.2075 hartree per atom

No. 2
A relaxed structure of BaTcRh2, computed with PBE-GGA.

```
BaTcRh2
1.0
-1.5082 0.2547 -4.1034
-2.1969 -3.3655 -1.7391
-6.1952 1.1857 0.0110
Tc Ba Rh
1 1 2
direct
0.7500 0.7500 0.7500
0.2500 0.2500 0.2500
0.4434 0.4434 0.6700
0.0566 0.0566 0.8300
```

Results
Total magnetic moment = 0.0 μB per formula unit
DOS(E_F) = 1.337 states/eV per atom
ΔE to the lowest computed polymorph = 0.0 kJ/mol of formula units

No. 3
A relaxed structure of KBeRh2S, computed with PBE-GGA.

```
KBeRh2S
1.0
4.6004 0.0000 0.0000
0.0000 4.1091 0.0000
0.0000 0.0000 4.6004
Rh Be K S
2 1 1 1
direct
0.5000 0.0000 0.0000
0.0000 0.0000 0.5000
0.0000 0.5000 0.0000
0.5000 0.5000 0.5000
0.0000 0.0000 0.0000
```

Results
Total magnetic moment = 0.0 μB per formula unit
ΔE_f (raw) = 0.29 eV/atom
DOS(E_F) = 0.620 states/eV per atom

No. 4
A relaxed structure of SrNdNi, computed with PBE-GGA.

```
SrNdNi
1.0
-0.7685 -2.8955 2.8675
3.6911 -1.3637 -0.3878
1.7404 8.0027 8.5473
Ni Nd Sr
2 2 2
direct
0.2500 0.5325 0.0650
0.7500 0.4675 0.9350
0.2500 0.9374 0.8751
0.7500 0.0626 0.1249
0.7500 0.3190 0.6384
0.2500 0.6810 0.3616
```

Results
Total magnetic moment = 0.0 μB per formula unit
DOS(E_F) = 0.876 states/eV per atom
ΔE to the lowest computed polymorph = 0.0 kJ/mol of formula units

No. 5
A relaxed structure of Y6MgRu2, computed with PBE-GGA.

```
Y6MgRu2
1.0
-6.9282 -1.0202 -4.9112
0.6987 -6.2778 5.7673
-0.2649 7.1363 4.7078
Y Mg Ru
12 2 4
direct
0.8990 0.1832 0.7158
0.7963 0.5560 0.7597
0.6851 0.6740 0.3591
0.6851 0.3260 0.0111
0.3149 0.3260 0.6409
0.4674 0.1832 0.2842
0.1010 0.8168 0.2842
0.5326 0.8168 0.7158
0.2037 0.9633 0.7597
0.7963 0.0367 0.2403
0.2037 0.4440 0.2403
0.3149 0.6740 0.9889
0.0000 0.5000 0.5000
0.0000 0.0000 0.0000
0.5000 0.1239 0.6239
0.3179 0.3179 0.0000
0.6821 0.6821 0.0000
0.5000 0.8761 0.3761
```

Results
Total magnetic moment = 0.0 μB per formula unit
DOS(E_F) = 1.010 states/eV per atom
Raw total energy = -0.2501 hartree per atom

No. 6
A relaxed structure of PtBr4Cl, computed with PBE-GGA.

```
PtBr4Cl
1.0
-0.6989 1.2893 -6.3982
3.9309 -5.0105 -5.6720
-4.9661 -7.6311 -3.1118
Br Cl Pt
8 2 2
direct
0.8155 0.1360 0.6044
0.3155 0.2404 0.3956
0.7304 0.9688 0.1775
0.1845 0.8640 0.3956
0.2304 0.6463 0.8225
0.2696 0.0312 0.8225
0.6845 0.7596 0.6044
0.7696 0.3537 0.1775
0.7500 0.6490 0.2019
0.2500 0.3510 0.7981
0.2500 0.9458 0.6083
0.7500 0.0542 0.3917
```

Results
Total magnetic moment = 0.9 μB per formula unit
ΔE_f (raw) = -0.11 eV/atom
DOS(E_F) = 0.555 states/eV per atom
ΔE to the lowest computed polymorph = 0.0 kJ/mol of formula units